1.
DFT (PBE-GGA) results for an optimized crystal structure of KSn2AsOs.

Lattice parameters (Å, degrees): 5.6006 4.7180 5.6006 90.00 90.00 90.00
Fractional positions:
K: 0.0000 0.0000 0.0000
Os: 0.0000 0.5000 0.0000
Sn: 0.0000 0.0000 0.5000
As: 0.5000 0.5000 0.5000
Sn: 0.5000 0.0000 0.0000

Properties
**Crystal system**: tetragonal
**N(E_F)**: 6.0 states/eV/cell
**ΔH_f (0 K)**: 2.258 eV per atom
**VASP energy**: -13.7 eV per cell



2.
DFT (PBE-GGA) results for an optimized crystal structure of KTiAs2Os.

Lattice parameters (Å, degrees): 5.0917 4.3954 5.0917 90.00 90.00 90.00
Fractional positions:
As: 0.0000 0.0000 0.5000
K: 0.0000 0.0000 0.0000
Os: 0.5000 0.5000 0.5000
Ti: 0.0000 0.5000 0.0000
As: 0.5000 0.0000 0.0000

Properties
**Crystal system**: tetragonal
**N(E_F)**: 5.9 states/eV/cell
**ΔH_f (0 K)**: 2.528 eV per atom
**VASP energy**: -16.9 eV per cell



3.
DFT (PBE-GGA) results for an optimized crystal structure of KAsP2.

Lattice parameters (Å, degrees): 6.7006 6.7010 15.3488 71.21 71.21 105.34
Fractional positions:
P: 0.0981 0.4108 0.2848
K: 0.0419 0.1607 0.7439
P: 0.7240 0.7703 0.2365
As: 0.6605 0.8980 0.0949
As: 0.9593 0.5993 0.5949
P: 0.8317 0.6628 0.7366
As: 0.3698 0.4722 0.3316
P: 0.4721 0.0370 0.7848
K: 0.7316 0.0961 0.5388
K: 0.1574 0.6704 0.0388
As: 0.5335 0.3086 0.8316
P: 0.9991 0.1532 0.9627
P: 0.2145 0.9378 0.4627
P: 0.2960 0.2241 0.4968
K: 0.2216 0.9805 0.2439
P: 0.2853 0.2346 0.9968

Properties
**Crystal system**: monoclinic
**ΔH_f (0 K)**: -0.036 eV per atom
**VASP energy**: -66.8 eV per cell